Entry 1:
# SiP2Rh, optimized geometry, DFT PBE
data_SiP2Rh
_symmetry_space_group_name_H-M 'C 1 2/m 1'
_symmetry_Int_Tables_number 12
_cell_length_a 5.8113
_cell_length_b 3.3358
_cell_length_c 6.3500
_cell_angle_alpha 90.00
_cell_angle_beta 107.64
_cell_angle_gamma 90.00
loop_
_symmetry_equiv_pos_as_xyz
'x,y,z'
'-x,-y,-z'
'-x,y,-z'
'x,-y,z'
'x+1/2,y+1/2,z'
'-x+1/2,-y+1/2,-z'
'-x+1/2,y+1/2,-z'
'x+1/2,-y+1/2,z'
loop_
_atom_site_label
_atom_site_type_symbol
_atom_site_fract_x
_atom_site_fract_y
_atom_site_fract_z
Si1 Si 0.0000 0.0000 0.0000
P1 P 0.2485 0.5000 0.2445
Rh1 Rh 0.0000 0.5000 0.5000
# energy relative to the elements, uncorrected	-0.5	eV/f.u.
# crystal system	monoclinic

***

Entry 2:
# NpSnHgAu, optimized geometry, DFT PBE
data_NpSnHgAu
_symmetry_space_group_name_H-M 'F -4 3 m'
_symmetry_Int_Tables_number 216
_symmetry_space_group_name_Hall 'F -4 2 3'
_cell_length_a 7.2290
_cell_length_b 7.2290
_cell_length_c 7.2290
_cell_angle_alpha 90.00
_cell_angle_beta 90.00
_cell_angle_gamma 90.00
loop_
_atom_site_label
_atom_site_type_symbol
_atom_site_fract_x
_atom_site_fract_y
_atom_site_fract_z
Np1 Np 0.0000 0.0000 0.0000
Sn1 Sn 0.0000 0.0000 0.5000
Hg1 Hg 0.2500 0.2500 0.7500
Au1 Au 0.2500 0.2500 0.2500
# formation energy from the elements	-0.06	eV per atom
# crystal system	cubic

***

Entry 3:
# FeSb3, optimized geometry, DFT PBE
data_FeSb3
_symmetry_space_group_name_H-M 'P 63 2 2'
_symmetry_Int_Tables_number 182
_symmetry_space_group_name_Hall 'P 6c 2c'
_cell_length_a 6.4861
_cell_length_b 6.4861
_cell_length_c 5.1909
_cell_angle_alpha 90.00
_cell_angle_beta 90.00
_cell_angle_gamma 120.00
loop_
_atom_site_label
_atom_site_type_symbol
_atom_site_fract_x
_atom_site_fract_y
_atom_site_fract_z
Fe1 Fe 0.3333 0.6667 0.2500
Sb1 Sb 0.0000 0.3383 0.0000
# energy relative to the elements, uncorrected	0.5	eV/f.u.
# ΔE to the lowest computed polymorph	160	meV/atom
# crystal system	hexagonal

***

Entry 4:
# Be3HCl, optimized geometry, DFT PBE
data_Be3HCl
_symmetry_space_group_name_H-M 'P m -3 m'
_symmetry_Int_Tables_number 221
_symmetry_space_group_name_Hall '-P 4 2 3'
_cell_length_a 4.1211
_cell_length_b 4.1211
_cell_length_c 4.1211
_cell_angle_alpha 90.00
_cell_angle_beta 90.00
_cell_angle_gamma 90.00
loop_
_atom_site_label
_atom_site_type_symbol
_atom_site_fract_x
_atom_site_fract_y
_atom_site_fract_z
Be1 Be 0.0000 0.0000 0.5000
H1 H 0.5000 0.5000 0.5000
Cl1 Cl 0.0000 0.0000 0.0000
# ΔE to the lowest computed polymorph	797	meV/atom
# crystal system	cubic

***

In Å³ per cell, the volume values for the records above are, in order, 117.31, 377.77, 189.12, 69.99.
In μB/f.u., the size of the total moment values for the records above are, in order, 0.00, 4.24, 0.57, 0.00.
In states/eV/f.u., the DOS(E_F) values for the records above are, in order, 2.3, 9.8, 2.7, 1.6.